The following is a PBE calculation of a geometry-optimized Pr2Al3Ga4Hg structure, from Alexandria.

Unit cell a=4.426 b=4.426 c=10.793 alpha=90.00 beta=90.00 gamma=90.00
Element x y z (fractional)
Pr1 0.500 0.000 0.242
Pr2 0.000 0.500 0.758
Al1 0.000 0.000 0.500
Al2 0.500 0.000 0.873
Al3 0.000 0.500 0.127
Ga1 0.500 0.500 0.000
Ga2 0.000 0.000 0.000
Ga3 0.500 0.000 0.644
Ga4 0.000 0.500 0.356
Hg1 0.500 0.500 0.500

Mass density   6.617 Mg/m³
Crystal system   tetragonal
Size of the total moment   0.00 μB/cell
E_tot   -3.6986 eV/atom

***

The following is a PBE calculation of a geometry-optimized PrAlGaHg structure, from Alexandria.

Unit cell a=5.077 b=5.077 c=5.077 alpha=60.00 beta=60.00 gamma=60.00
Element x y z (fractional)
Pr1 0.000 0.000 0.000
Hg1 0.250 0.250 0.250
Ga1 0.750 0.750 0.750
Al1 0.500 0.500 0.500

Mass density   7.863 Mg/m³
Crystal system   cubic
Size of the total moment   0.00 μB/cell
E_tot   -3.2076 eV/atom

***

The following is a PBE calculation of a geometry-optimized AlGaHgRu2 structure, from Alexandria.

Unit cell a=4.555 b=4.757 c=4.555 alpha=90.00 beta=90.00 gamma=90.00
Element x y z (fractional)
Ru1 0.000 0.000 0.500
Ru2 0.500 0.000 0.000
Hg1 0.000 0.500 0.000
Ga1 0.500 0.500 0.500
Al1 0.000 0.000 0.000

Mass density   8.403 Mg/m³
Crystal system   tetragonal
Size of the total moment   0.70 μB/cell
E_tot   -4.1543 eV/atom

***

The following is a PBE calculation of a geometry-optimized ScAlGaHg structure, from Alexandria.

Unit cell a=4.167 b=4.178 c=4.332 alpha=90.00 beta=90.00 gamma=90.00
Element x y z (fractional)
Sc1 0.500 0.000 0.500
Al1 0.000 0.000 0.000
Ga1 0.000 0.500 0.500
Hg1 0.500 0.500 0.000

Mass density   7.536 Mg/m³
Crystal system   orthorhombic
Size of the total moment   0.00 μB/cell
E_tot   -3.7075 eV/atom

***

The following is a PBE calculation of a geometry-optimized Sc4Al2GaHg structure, from Alexandria.

Unit cell a=4.838 b=4.838 c=8.368 alpha=73.20 beta=73.20 gamma=60.00
Element x y z (fractional)
Sc1 0.378 0.378 0.866
Sc2 0.873 0.873 0.382
Sc3 0.127 0.127 0.618
Sc4 0.622 0.622 0.134
Al1 0.748 0.748 0.756
Al2 0.252 0.252 0.244
Ga1 0.500 0.500 0.500
Hg1 0.000 0.000 0.000

Mass density   5.235 Mg/m³
Crystal system   trigonal
Size of the total moment   0.00 μB/cell
E_tot   -4.9653 eV/atom

***

The following is a PBE calculation of a geometry-optimized AlGaHg2Se4 structure, from Alexandria.

Unit cell a=6.586 b=6.587 c=7.088 alpha=117.67 beta=117.68 gamma=90.03
Element x y z (fractional)
Al1 0.736 0.736 0.472
Ga1 0.986 0.486 0.972
Hg1 0.486 0.986 0.972
Hg2 0.236 0.236 0.471
Se1 0.670 0.614 0.720
Se2 0.858 0.422 0.224
Se3 0.366 0.802 0.224
Se4 0.050 0.106 0.720

Mass density   5.829 Mg/m³
Uncorrected formation energy   -2.754 eV per formula unit
Crystal system   tetragonal
Size of the total moment   0.00 μB/cell
E_tot   -3.0081 eV/atom

***

The following is a PBE calculation of a geometry-optimized Al2GaHgSe6 structure, from Alexandria.

Unit cell a=7.049 b=9.316 c=9.316 alpha=91.25 beta=72.56 gamma=72.56
Element x y z (fractional)
Al1 0.314 0.765 0.599
Al2 0.186 0.401 0.235
Al3 0.686 0.235 0.401
Al4 0.814 0.599 0.765
Ga1 0.250 0.170 0.830
Ga2 0.750 0.830 0.170
Hg1 0.250 0.810 0.190
Hg2 0.750 0.190 0.810
Se1 0.119 0.955 0.815
Se2 0.381 0.185 0.045
Se3 0.881 0.045 0.185
Se4 0.619 0.815 0.955
Se5 0.414 0.901 0.382
Se6 0.086 0.618 0.099
Se7 0.586 0.099 0.618
Se8 0.914 0.382 0.901
Se9 0.050 0.667 0.552
Se10 0.450 0.448 0.333
Se11 0.950 0.333 0.448
Se12 0.550 0.552 0.667

Mass density   4.795 Mg/m³
Uncorrected formation energy   -4.861 eV per formula unit
Crystal system   monoclinic
Size of the total moment   0.00 μB/cell
E_tot   -3.6582 eV/atom

***

The following is a PBE calculation of a geometry-optimized SmAlGaHg structure, from Alexandria.

Unit cell a=5.009 b=5.009 c=5.009 alpha=60.00 beta=60.00 gamma=60.00
Element x y z (fractional)
Ga1 0.250 0.250 0.250
Hg1 0.750 0.750 0.750
Sm1 0.000 0.000 0.000
Al1 0.500 0.500 0.500

Mass density   8.367 Mg/m³
Crystal system   cubic
Size of the total moment   0.00 μB/cell
E_tot   -3.1928 eV/atom

***

The following is a PBE calculation of a geometry-optimized AlGaSnHg structure, from Alexandria.

Unit cell a=5.051 b=5.051 c=5.051 alpha=60.00 beta=60.00 gamma=60.00
Element x y z (fractional)
Al1 0.750 0.750 0.750
Hg1 0.500 0.500 0.500
Ga1 0.250 0.250 0.250
Sn1 0.000 0.000 0.000

Mass density   7.579 Mg/m³
Crystal system   cubic
Size of the total moment   0.00 μB/cell
E_tot   -2.6356 eV/atom

***

The following is a PBE calculation of a geometry-optimized SrAlGaHg structure, from Alexandria.

Unit cell a=5.145 b=5.145 c=5.145 alpha=60.00 beta=60.00 gamma=60.00
Element x y z (fractional)
Sr1 0.500 0.500 0.500
Hg1 0.750 0.750 0.750
Ga1 0.250 0.250 0.250
Al1 0.000 0.000 0.000

Mass density   6.635 Mg/m³
Crystal system   cubic
Size of the total moment   0.00 μB/cell
E_tot   -2.3999 eV/atom

***

The following is a PBE calculation of a geometry-optimized Sr2Al3Ga4Hg structure, from Alexandria.

Unit cell a=4.482 b=4.482 c=11.122 alpha=90.00 beta=90.00 gamma=90.00
Element x y z (fractional)
Sr1 0.500 0.000 0.245
Sr2 0.000 0.500 0.755
Al1 0.000 0.000 0.500
Al2 0.500 0.000 0.871
Al3 0.000 0.500 0.129
Ga1 0.500 0.500 0.000
Ga2 0.000 0.000 0.000
Ga3 0.500 0.000 0.642
Ga4 0.000 0.500 0.358
Hg1 0.500 0.500 0.500

Mass density   5.469 Mg/m³
Crystal system   tetragonal
Size of the total moment   0.00 μB/cell
E_tot   -3.0349 eV/atom

***

The following is a PBE calculation of a geometry-optimized Sr2Al4GaHg3 structure, from Alexandria.

Unit cell a=4.532 b=4.532 c=11.424 alpha=90.00 beta=90.00 gamma=90.00
Element x y z (fractional)
Sr1 0.500 0.000 0.256
Sr2 0.000 0.500 0.744
Al1 0.500 0.500 0.000
Al2 0.000 0.000 0.000
Al3 0.500 0.000 0.631
Al4 0.000 0.500 0.369
Ga1 0.500 0.500 0.500
Hg1 0.000 0.000 0.500
Hg2 0.500 0.000 0.862
Hg3 0.000 0.500 0.138

Mass density   6.755 Mg/m³
Crystal system   tetragonal
Size of the total moment   0.00 μB/cell
E_tot   -2.5246 eV/atom

***

The following is a PBE calculation of a geometry-optimized AlGaHg2Te4 structure, from Alexandria.

Unit cell a=6.964 b=7.032 c=7.173 alpha=115.04 beta=114.70 gamma=97.93
Element x y z (fractional)
Al1 0.744 0.744 0.489
Ga1 0.991 0.491 0.982
Hg1 0.440 0.940 0.881
Hg2 0.195 0.195 0.389
Te1 0.661 0.622 0.760
Te2 0.859 0.414 0.257
Te3 0.398 0.843 0.257
Te4 0.099 0.138 0.760

Mass density   6.268 Mg/m³
Uncorrected formation energy   -1.267 eV per formula unit
Crystal system   monoclinic
Size of the total moment   0.00 μB/cell
E_tot   -2.6508 eV/atom

***

The following is a PBE calculation of a geometry-optimized TmAlGaHg structure, from Alexandria.

Unit cell a=4.910 b=4.910 c=4.910 alpha=60.00 beta=60.00 gamma=60.00
Element x y z (fractional)
Tm1 0.000 0.000 0.000
Hg1 0.750 0.750 0.750
Ga1 0.250 0.250 0.250
Al1 0.500 0.500 0.500

Mass density   9.251 Mg/m³
Crystal system   cubic
Size of the total moment   0.00 μB/cell
E_tot   -3.0931 eV/atom